(1)
CaSn2Pb2 | PBE | relaxed

Output
raw total energy: -3.56 eV per atom
E above lowest polymorph: 165 meV/atom
space-group type: I4/mmm, No. 139

Cell and atoms, written as POSCAR:
```
CaSn2Pb2
1.0
-2.255 2.255 7.967
2.255 -2.255 7.967
2.255 2.255 -7.967
Ca Sn Pb
1 2 2
Direct
0.000 0.000 0.000
0.250 0.750 0.500
0.750 0.250 0.500
0.401 0.401 0.000
0.599 0.599 0.000
```

***

(2)
Ca2SnPb2 | PBE | relaxed

Output
raw total energy: -3.47 eV per atom
E above lowest polymorph: 25 meV/atom
space-group type: Imma, No. 74

Cell and atoms, written as POSCAR:
```
Ca2SnPb2
1.0
-2.231 4.995 7.188
2.231 -4.995 7.188
2.231 4.995 -7.188
Ca Sn Pb
4 2 4
Direct
0.150 0.147 0.003
0.356 0.853 0.503
0.644 0.147 0.497
0.850 0.853 0.997
0.426 0.676 0.750
0.574 0.324 0.250
0.079 0.329 0.750
0.252 0.002 0.250
0.748 0.998 0.750
0.921 0.671 0.250
```

***

(3)
Ca6Sn3Pb | PBE | relaxed

Output
raw total energy: -3.31 eV per atom
space-group type: Pnnm, No. 58

Cell and atoms, written as POSCAR:
```
Ca6Sn3Pb
1.0
9.344 0.000 0.000
0.000 12.917 0.000
0.000 0.000 5.313
Ca Sn Pb
12 6 2
Direct
0.020 0.247 0.000
0.161 0.090 0.500
0.185 0.410 0.500
0.315 0.910 0.000
0.339 0.590 0.000
0.480 0.747 0.500
0.520 0.253 0.500
0.661 0.410 0.000
0.685 0.090 0.000
0.815 0.590 0.500
0.839 0.910 0.500
0.980 0.753 0.000
0.000 0.000 0.000
0.142 0.692 0.500
0.358 0.192 0.000
0.500 0.500 0.500
0.642 0.808 0.000
0.858 0.308 0.500
0.000 0.500 0.000
0.500 0.000 0.500
```

***

(4)
CaSn3Pb | PBE | relaxed

Output
raw total energy: -3.12 eV per atom
E above lowest polymorph: 323 meV/atom
space-group type: Pm-3m, No. 221

Cell and atoms, written as POSCAR:
```
CaSn3Pb
1.0
5.779 0.000 0.000
0.000 5.779 0.000
0.000 0.000 5.779
Ca Sn Pb
1 3 1
Direct
0.000 0.000 0.000
0.000 0.500 0.500
0.500 0.000 0.500
0.500 0.500 0.000
0.500 0.500 0.500
```

***

(5)
Ca2Sn2Pb | PBE | relaxed

Output
raw total energy: -3.32 eV per atom
space-group type: I4/mmm, No. 139

Cell and atoms, written as POSCAR:
```
Ca2Sn2Pb
1.0
-2.546 2.546 6.487
2.546 -2.546 6.487
2.546 2.546 -6.487
Ca Sn Pb
2 2 1
Direct
0.250 0.750 0.500
0.750 0.250 0.500
0.106 0.106 0.000
0.894 0.894 0.000
0.500 0.500 0.000
```

***

(6)
Ca3SnPb | PBE | relaxed

Output
raw total energy: -3.18 eV per atom
E above lowest polymorph: 0 meV/atom
space-group type: P2_1/c, No. 14

Cell and atoms, written as POSCAR:
```
Ca3SnPb
1.0
11.011 0.000 0.000
0.000 6.544 0.000
-6.242 0.000 9.944
Ca Sn Pb
12 4 4
Direct
0.000 0.000 0.248
0.000 0.000 0.752
0.000 0.500 0.252
0.000 0.500 0.748
0.245 0.205 0.122
0.245 0.295 0.622
0.363 0.750 0.431
0.363 0.750 0.931
0.637 0.250 0.069
0.637 0.250 0.569
0.755 0.705 0.378
0.755 0.795 0.878
0.302 0.250 0.400
0.302 0.250 0.900
0.698 0.750 0.100
0.698 0.750 0.600
0.111 0.718 0.056
0.111 0.782 0.556
0.889 0.218 0.444
0.889 0.282 0.944
```

***

(7)
Ca2SnPb | PBE | relaxed

Output
raw total energy: -3.50 eV per atom
space-group type: P4/mmm, No. 123

Cell and atoms, written as POSCAR:
```
Ca2SnPb
1.0
4.996 0.000 0.000
0.000 4.996 0.000
0.000 0.000 4.637
Ca Sn Pb
2 1 1
Direct
0.000 0.500 0.000
0.500 0.000 0.000
0.000 0.000 0.500
0.500 0.500 0.500
```

***

(8)
Ca2SnPb2 | PBE | relaxed

Output
raw total energy: -3.50 eV per atom
E above lowest polymorph: 0 meV/atom
space-group type: P4/mbm, No. 127

Cell and atoms, written as POSCAR:
```
Ca2SnPb2
1.0
8.102 0.000 0.000
0.000 8.102 0.000
0.000 0.000 4.760
Ca Sn Pb
4 2 4
Direct
0.170 0.330 0.000
0.330 0.830 0.000
0.670 0.170 0.000
0.830 0.670 0.000
0.000 0.000 0.500
0.500 0.500 0.500
0.135 0.635 0.500
0.365 0.135 0.500
0.635 0.865 0.500
0.865 0.365 0.500
```

***

(9)
Ca4Sn7Pb | PBE | relaxed

Output
raw total energy: -3.72 eV per atom
space-group type: P-1, No. 2

Cell and atoms, written as POSCAR:
```
Ca4Sn7Pb
1.0
6.361 0.000 0.000
2.302 5.970 0.000
0.965 1.075 9.331
Ca Sn Pb
4 7 1
Direct
0.161 0.010 0.294
0.249 0.341 0.877
0.751 0.659 0.123
0.839 0.990 0.706
0.000 0.500 0.500
0.239 0.829 0.956
0.308 0.456 0.201
0.333 0.017 0.625
0.667 0.983 0.375
0.692 0.544 0.799
0.761 0.171 0.044
0.500 0.500 0.500
```

***

(10)
Ca8SnPb2 | PBE | relaxed

Output
raw total energy: -2.86 eV per atom
E above lowest polymorph: 38 meV/atom
space-group type: Immm, No. 71

Cell and atoms, written as POSCAR:
```
Ca8SnPb2
1.0
-2.664 4.231 7.967
2.664 -4.231 7.967
2.664 4.231 -7.967
Ca Sn Pb
8 1 2
Direct
0.128 0.348 0.779
0.154 0.154 0.000
0.303 0.000 0.303
0.431 0.652 0.779
0.569 0.348 0.221
0.697 0.000 0.697
0.846 0.846 0.000
0.872 0.652 0.221
0.000 0.500 0.500
0.308 0.808 0.500
0.692 0.192 0.500
```

***

(11)
Ca2SnPb2 | PBE | relaxed

Output
raw total energy: -3.08 eV per atom
E above lowest polymorph: 419 meV/atom
space-group type: I4/mmm, No. 139

Cell and atoms, written as POSCAR:
```
Ca2SnPb2
1.0
-2.581 2.581 6.570
2.581 -2.581 6.570
2.581 2.581 -6.570
Ca Sn Pb
2 1 2
Direct
0.250 0.750 0.500
0.750 0.250 0.500
0.000 0.000 0.000
0.392 0.392 0.000
0.608 0.608 0.000
```

***

(12)
Ca2SnPb2 | PBE | relaxed

Output
raw total energy: -3.32 eV per atom
E above lowest polymorph: 180 meV/atom
space-group type: P4/mbm, No. 127

Cell and atoms, written as POSCAR:
```
Ca2SnPb2
1.0
9.340 0.000 0.000
0.000 9.340 0.000
0.000 0.000 3.585
Ca Sn Pb
4 2 4
Direct
0.128 0.372 0.000
0.372 0.872 0.000
0.628 0.128 0.000
0.872 0.628 0.000
0.000 0.000 0.000
0.500 0.500 0.000
0.176 0.676 0.500
0.324 0.176 0.500
0.676 0.824 0.500
0.824 0.324 0.500
```

***

Calculated D(E_F) in order - 4.3, 5.2, 8.5, 4.2, 4.2, 9.4, 1.0, 4.9, 6.3, 9.1, 4.4, 5.4 states/eV/cell
Calculated mass density in order - 7.09, 6.36, 4.16, 5.19, 5.18, 4.14, 5.83, 6.52, 5.62, 3.95, 5.82, 6.51 g/cm³
Calculated E_form in order - -0.075, -0.388, -0.532, 0.427, -0.173, -0.432, -0.573, -0.413, -0.410, -0.370, 0.006, -0.233 eV/atom